1.
Computed, not measured: Ac2Sm3Y6Ho after structural relaxation at the PBE-GGA level of DFT.

## Properties
- Total magnetic moment: 0.000 Bohr magnetons per cell
- ΔH_f (0 K): 0.032 eV/atom
- Symmetry: C2/m, No. 12

abc: 6.3462 6.3462 11.9758
angles: 95.05 95.05 119.98
Element x y z (fractional)
Ac 0.1665 0.8335 0.0000
Ac 0.8335 0.1665 0.0000
Sm 0.0000 0.0000 0.5000
Sm 0.3331 0.6669 0.5000
Sm 0.6669 0.3331 0.5000
Y 0.0848 0.4155 0.7452
Y 0.2540 0.2540 0.2551
Y 0.4155 0.0848 0.7452
Y 0.5845 0.9152 0.2548
Y 0.7460 0.7460 0.7449
Y 0.9152 0.5845 0.2548
Ho 0.5000 0.5000 0.0000

2.
Computed, not measured: Sr3Se2O8 after structural relaxation at the PBE-GGA level of DFT.

## Properties
- Total magnetic moment: 0.000 Bohr magnetons per cell
- Uncorrected formation energy: -1.75 eV/atom
- Symmetry: R-3m, No. 166

abc: 7.1963 7.1963 7.1963
angles: 48.77 48.77 48.77
Element x y z (fractional)
Sr 0.0000 0.0000 0.0000
Sr 0.2103 0.2103 0.2103
Sr 0.7897 0.7897 0.7897
Se 0.4276 0.4276 0.4276
Se 0.5724 0.5724 0.5724
O 0.2174 0.7376 0.7376
O 0.2624 0.2624 0.7826
O 0.2624 0.7826 0.2624
O 0.3373 0.3373 0.3373
O 0.6627 0.6627 0.6627
O 0.7376 0.2174 0.7376
O 0.7376 0.7376 0.2174
O 0.7826 0.2624 0.2624

3.
Computed, not measured: Be2NbNi after structural relaxation at the PBE-GGA level of DFT.

## Properties
- Total magnetic moment: 0.000 Bohr magnetons per cell
- ΔH_f (0 K): -0.241 eV/atom
- ΔE to the lowest computed polymorph: 39.7 meV/atom
- Symmetry: P4/mmm, No. 123

abc: 2.7425 2.7425 5.9750
angles: 90.00 90.00 90.00
Element x y z (fractional)
Be 0.0000 0.0000 0.1968
Be 0.0000 0.0000 0.8032
Nb 0.5000 0.5000 0.5000
Ni 0.5000 0.5000 0.0000

4.
Computed, not measured: Rb2InPbO4 after structural relaxation at the PBE-GGA level of DFT.

## Properties
- Total magnetic moment: 0.000 Bohr magnetons per cell
- Uncorrected formation energy: -1.27 eV/atom
- Symmetry: P2/m, No. 10

abc: 6.1075 3.5425 6.8040
angles: 90.00 107.48 90.00
Element x y z (fractional)
Rb 0.0000 0.0000 0.0000
Rb 0.5000 0.5000 0.0000
In 0.0000 0.5000 0.5000
Pb 0.5000 0.0000 0.5000
O 0.2131 0.0000 0.6794
O 0.2578 0.5000 0.3185
O 0.7422 0.5000 0.6815
O 0.7869 0.0000 0.3206

5.
Computed, not measured: CdInSb2 after structural relaxation at the PBE-GGA level of DFT.

## Properties
- Total magnetic moment: 0.000 Bohr magnetons per cell
- Uncorrected formation energy: 0.15 eV/atom
- Symmetry: F-43m, No. 216

abc: 5.3456 5.3456 5.3456
angles: 60.00 60.00 60.00
Element x y z (fractional)
Cd 0.0000 0.0000 0.0000
In 0.2500 0.2500 0.2500
Sb 0.5000 0.5000 0.5000
Sb 0.7500 0.7500 0.7500

6.
Computed, not measured: ThTaN3 after structural relaxation at the PBE-GGA level of DFT.

## Properties
- Total magnetic moment: 0.000 Bohr magnetons per cell
- Uncorrected formation energy: -1.34 eV/atom
- Symmetry: Cmcm, No. 63

abc: 5.5218 5.5218 7.6900
angles: 90.00 90.00 145.93
Element x y z (fractional)
Th 0.2382 0.7618 0.7500
Th 0.7618 0.2382 0.2500
Ta 0.5000 0.5000 0.0000
Ta 0.5000 0.5000 0.5000
N 0.1290 0.8710 0.0566
N 0.1290 0.8710 0.4434
N 0.4278 0.5722 0.2500
N 0.5722 0.4278 0.7500
N 0.8710 0.1290 0.5566
N 0.8710 0.1290 0.9434

7.
Computed, not measured: Rb3LiV2Cl9 after structural relaxation at the PBE-GGA level of DFT.

## Properties
- Total magnetic moment: 5.000 Bohr magnetons per cell
- Uncorrected formation energy: -1.59 eV/atom
- Symmetry: P-3m1, No. 164

abc: 7.0840 7.0840 8.7095
angles: 90.00 90.00 120.00
Element x y z (fractional)
Rb 0.0000 0.0000 0.0000
Rb 0.3333 0.6667 0.6579
Rb 0.6667 0.3333 0.3421
Li 0.0000 0.0000 0.5000
V 0.3333 0.6667 0.1685
V 0.6667 0.3333 0.8315
Cl 0.0000 0.5000 0.0000
Cl 0.1720 0.3439 0.3236
Cl 0.1720 0.8280 0.3236
Cl 0.3439 0.1720 0.6764
Cl 0.5000 0.0000 0.0000
Cl 0.5000 0.5000 0.0000
Cl 0.6561 0.8280 0.3236
Cl 0.8280 0.1720 0.6764
Cl 0.8280 0.6561 0.6764

8.
Computed, not measured: Sr2CrSi after structural relaxation at the PBE-GGA level of DFT.

## Properties
- Total magnetic moment: 3.493 Bohr magnetons per cell
- Uncorrected formation energy: 0.21 eV/atom
- Symmetry: P4mm, No. 99

abc: 3.5721 3.5721 9.0871
angles: 90.00 90.00 90.00
Element x y z (fractional)
Sr 0.0000 0.0000 0.0000
Sr 0.5000 0.5000 0.3969
Cr 0.0000 0.0000 0.6657
Si 0.5000 0.5000 0.7489

9.
Computed, not measured: ScCdCuPd after structural relaxation at the PBE-GGA level of DFT.

## Properties
- Total magnetic moment: 0.000 Bohr magnetons per cell
- ΔH_f (0 K): -0.446 eV/atom
- Symmetry: F-43m, No. 216

abc: 4.6058 4.6058 4.6058
angles: 60.00 60.00 60.00
Element x y z (fractional)
Sc 0.0000 0.0000 0.0000
Cd 0.5000 0.5000 0.5000
Cu 0.7500 0.7500 0.7500
Pd 0.2500 0.2500 0.2500

10.
Computed, not measured: PrNdErHg after structural relaxation at the PBE-GGA level of DFT.

## Properties
- Total magnetic moment: 0.000 Bohr magnetons per cell
- ΔH_f (0 K): -0.233 eV/atom
- ΔE to the lowest computed polymorph: 0.0 meV/atom
- Symmetry: P4mm, No. 99

abc: 3.6877 3.6877 9.0132
angles: 90.00 90.00 90.00
Element x y z (fractional)
Pr 0.0000 0.0000 0.0000
Nd 0.5000 0.5000 0.7101
Er 0.5000 0.5000 0.2772
Hg 0.0000 0.0000 0.4739

11.
Computed, not measured: TiCuN3 after structural relaxation at the PBE-GGA level of DFT.

## Properties
- Total magnetic moment: 0.001 Bohr magnetons per cell
- Uncorrected formation energy: 0.96 eV/atom
- Symmetry: Pm-3m, No. 221

abc: 3.8937 3.8937 3.8937
angles: 90.00 90.00 90.00
Element x y z (fractional)
Ti 0.0000 0.0000 0.0000
Cu 0.5000 0.5000 0.5000
N 0.0000 0.0000 0.5000
N 0.0000 0.5000 0.0000
N 0.5000 0.0000 0.0000

12.
Computed, not measured: BeHPd2Rh after structural relaxation at the PBE-GGA level of DFT.

## Properties
- Total magnetic moment: 0.000 Bohr magnetons per cell
- ΔE to the lowest computed polymorph: 98.8 meV/atom
- Symmetry: P4/mmm, No. 123

abc: 3.7922 3.7922 3.9797
angles: 90.00 90.00 90.00
Element x y z (fractional)
Be 0.0000 0.0000 0.0000
H 0.0000 0.0000 0.5000
Pd 0.0000 0.5000 0.5000
Pd 0.5000 0.0000 0.5000
Rh 0.5000 0.5000 0.0000